VASP calculation (PBE) on a relaxed structure of Pr12Ag6Sb.

abc: 12.4091 12.4091 14.1787
angles: 90.00 90.00 120.00
Closest atoms and distances in Å follow each position.
Space group R-3 (No. 148, hexagonal axes)
Symmetry-distinct sites (fractional):
Pr 0.0117 0.8205 0.3450 x18  2 Ag 3.13-3.16, 1 Sb 3.18
Pr 0.0547 0.1961 0.1097 x18  4 Ag 2.97-3.21
Ag 0.0095 0.4269 0.5800 x18  6 Pr 2.97-3.21, 1 Ag 2.99
Sb 0.0000 0.0000 0.5000 x3  6 Pr 3.18

## Properties
**DFT total energy**: -4.22 eV/atom

***

VASP calculation (PBE) on a relaxed structure of Pr5Ag2Sb.

abc: 7.9670 7.9670 15.3068
angles: 90.00 90.00 90.00
Closest atoms and distances in Å follow each position.
Space group I4/mcm (No. 140)
Symmetry-distinct sites (fractional):
Pr 0.0000 0.0000 0.0000 x4  4 Ag 3.12
Pr 0.1575 0.3425 0.1529 x16  3 Ag 3.28-3.35, 2 Sb 3.35, 2 Pr 3.55-3.63
Ag 0.1299 0.3701 0.5000 x8  1 Ag 2.93, 2 Pr 3.12
Sb 0.0000 0.0000 0.2500 x4  8 Pr 3.35

## Properties
**DFT total energy**: -4.61 eV/atom

***

VASP calculation (PBE) on a relaxed structure of Pr8AgSb2.

abc: 19.7767 4.9903 7.4402
angles: 90.00 100.88 90.00
Closest atoms and distances in Å follow each position.
Space group C2/m (No. 12)
Symmetry-distinct sites (fractional):
Pr 0.0159 0.0000 0.2654 x4  2 Ag 3.09, 1 Sb 3.30
Pr 0.0944 0.5000 0.9926 x4  2 Sb 3.46, 9 Pr 3.62-3.86, 1 Ag 3.79
Pr 0.1588 0.5000 0.5163 x4  1 Ag 3.12, 3 Sb 3.23-3.26
Pr 0.2138 0.0000 0.8420 x4  3 Sb 3.29-3.41, 4 Pr 3.51-3.54
Ag 0.0000 0.5000 0.5000 x2  6 Pr 3.09-3.12
Sb 0.1826 0.0000 0.2608 x4  9 Pr 3.23-3.46

## Properties
**DFT total energy**: -4.88 eV/atom

***

VASP calculation (PBE) on a relaxed structure of Pr4Ag2Sb.

abc: 5.3355 5.3355 26.0802
angles: 90.00 90.00 120.00
Closest atoms and distances in Å follow each position.
Space group R-3m (No. 166, hexagonal axes)
Symmetry-distinct sites (fractional):
Pr 0.0000 0.0000 0.1204 x6  4 Ag 3.24-3.43, 3 Sb 3.31
Pr 0.0000 0.0000 0.3717 x6  4 Ag 3.12-3.28, 1 Sb 3.35
Ag 0.0000 0.0000 0.2520 x6  8 Pr 3.12-3.43
Sb 0.0000 0.0000 0.5000 x3  8 Pr 3.31-3.35

## Properties
**DFT total energy**: -4.45 eV/atom

***

VASP calculation (PBE) on a relaxed structure of PrAgSb3.

abc: 13.5507 6.2932 6.3440
angles: 90.00 90.00 90.00
Closest atoms and distances in Å follow each position.
Space group Pbcm (No. 57)
Symmetry-distinct sites (fractional):
Pr 0.1843 0.0008 0.2500 x4  9 Sb 3.22-3.50, 2 Ag 3.54
Ag 0.3864 0.7500 0.0000 x4  6 Sb 2.92-3.26, 2 Ag 3.17
Sb 0.0020 0.7500 0.0000 x4  4 Sb 3.15-3.17, 4 Pr 3.33-3.37
Sb 0.2515 0.0091 0.7500 x4  2 Ag 2.92, 1 Sb 3.02, 1 Pr 3.22
Sb 0.4267 0.1949 0.2500 x4  4 Ag 3.01-3.26, 3 Sb 3.02-3.25

## Properties
**DFT total energy**: -4.44 eV/atom

***

VASP calculation (PBE) on a relaxed structure of Pr8Ag2Sb.

abc: 19.1766 5.3693 7.3197
angles: 90.00 109.07 90.00
Closest atoms and distances in Å follow each position.
Space group C2/m (No. 12)
Symmetry-distinct sites (fractional):
Pr 0.0213 0.0000 0.2693 x4  1 Ag 3.03, 2 Sb 3.27
Pr 0.0938 0.5000 0.9691 x4  1 Sb 3.31, 2 Ag 3.35, 5 Pr 3.55-3.68
Pr 0.1723 0.5000 0.4960 x4  3 Ag 2.99-3.33, 1 Sb 3.31
Pr 0.2005 0.0000 0.8391 x4  1 Ag 3.05
Ag 0.1732 0.0000 0.2269 x4  7 Pr 2.99-3.35
Sb 0.0000 0.5000 0.5000 x2  8 Pr 3.27-3.31

## Properties
**DFT total energy**: -4.60 eV/atom